Record 1
First-principles (PBE) data for HfAsN2F after structural relaxation, as listed in Alexandria via LeMat-Bulk.

Formation energy from raw total energies = -0.440 eV/atom
Energy above the lowest structure with this stoichiometry = 0.00 eV/f.u.

CIF file:
```
data_HfAsN2F
_space_group_name_H-M_alt 'P 4/m m m'
_space_group_IT_number 123
_space_group_name_Hall '-P 4 2'
_cell_length_a 4.2671
_cell_length_b 4.2671
_cell_length_c 3.9723
_cell_angle_alpha 90.00
_cell_angle_beta 90.00
_cell_angle_gamma 90.00
loop_
_atom_site_label
_atom_site_type_symbol
_atom_site_fract_x
_atom_site_fract_y
_atom_site_fract_z
Hf1 Hf 0.0000 0.0000 0.0000
As1 As 0.5000 0.5000 0.5000
N1 N 0.0000 0.5000 0.0000
F1 F 0.0000 0.0000 0.5000
```

=====

Record 2
First-principles (PBE) data for Th2AlAg after structural relaxation, as listed in Alexandria via LeMat-Bulk.

Formation energy = -0.1181 eV/atom

CIF file:
```
data_Th2AlAg
_space_group_name_H-M_alt 'P 4/m m m'
_space_group_IT_number 123
_space_group_name_Hall '-P 4 2'
_cell_length_a 4.7939
_cell_length_b 4.7939
_cell_length_c 4.4562
_cell_angle_alpha 90.00
_cell_angle_beta 90.00
_cell_angle_gamma 90.00
loop_
_atom_site_label
_atom_site_type_symbol
_atom_site_fract_x
_atom_site_fract_y
_atom_site_fract_z
Th1 Th 0.0000 0.5000 0.0000
Al1 Al 0.0000 0.0000 0.5000
Ag1 Ag 0.5000 0.5000 0.5000
```

=====

Record 3
First-principles (PBE) data for MoPtPb2Cl after structural relaxation, as listed in Alexandria via LeMat-Bulk.

Formation energy from raw total energies = 0.884 eV/atom

CIF file:
```
data_MoPtPb2Cl
_space_group_name_H-M_alt 'P 4/m m m'
_space_group_IT_number 123
_space_group_name_Hall '-P 4 2'
_cell_length_a 5.4779
_cell_length_b 5.4779
_cell_length_c 4.8124
_cell_angle_alpha 90.00
_cell_angle_beta 90.00
_cell_angle_gamma 90.00
loop_
_atom_site_label
_atom_site_type_symbol
_atom_site_fract_x
_atom_site_fract_y
_atom_site_fract_z
Mo1 Mo 0.0000 0.0000 0.0000
Pt1 Pt 0.5000 0.5000 0.5000
Pb1 Pb 0.0000 0.5000 0.5000
Cl1 Cl 0.5000 0.5000 0.0000
```

=====

Record 4
First-principles (PBE) data for La2CeHo3Te6 after structural relaxation, as listed in Alexandria via LeMat-Bulk.

Formation energy from raw total energies = -1.391 eV/atom

CIF file:
```
data_La2CeHo3Te6
_space_group_name_H-M_alt 'C 1 2/m 1'
_space_group_IT_number 12
_space_group_name_Hall '-C 2y'
_cell_length_a 19.4788
_cell_length_b 4.3966
_cell_length_c 8.9939
_cell_angle_alpha 90.00
_cell_angle_beta 104.68
_cell_angle_gamma 90.00
loop_
_atom_site_label
_atom_site_type_symbol
_atom_site_fract_x
_atom_site_fract_y
_atom_site_fract_z
La1 La 0.1656 0.0000 0.3317
Ce1 Ce 0.0000 0.5000 0.0000
Ho1 Ho 0.0000 0.5000 0.5000
Ho2 Ho 0.1682 0.0000 0.8347
Te1 Te 0.0051 0.0000 0.7434
Te2 Te 0.1630 0.5000 0.5937
Te3 Te 0.1690 0.5000 0.0720
```

=====

Record 5
First-principles (PBE) data for Ac2CeAu5 after structural relaxation, as listed in Alexandria via LeMat-Bulk.

Formation energy = -0.6344 eV/atom

CIF file:
```
data_Ac2CeAu5
_space_group_name_H-M_alt 'I 4/m m m'
_space_group_IT_number 139
_space_group_name_Hall '-I 4 2'
_cell_length_a 5.3711
_cell_length_b 5.3711
_cell_length_c 14.5377
_cell_angle_alpha 90.00
_cell_angle_beta 90.00
_cell_angle_gamma 90.00
loop_
_atom_site_label
_atom_site_type_symbol
_atom_site_fract_x
_atom_site_fract_y
_atom_site_fract_z
Ac1 Ac 0.0000 0.0000 0.2231
Ce1 Ce 0.0000 0.0000 0.5000
Au1 Au 0.0000 0.0000 0.0000
Au2 Au 0.0000 0.5000 0.1101
```

=====

Record 6
First-principles (PBE) data for Cs2CuHgCl5 after structural relaxation, as listed in Alexandria via LeMat-Bulk.

Formation energy from raw total energies = -1.183 eV/atom

CIF file:
```
data_Cs2CuHgCl5
_space_group_name_H-M_alt 'C m c 21'
_space_group_IT_number 36
_space_group_name_Hall 'C 2c -2'
_cell_length_a 4.4163
_cell_length_b 19.7974
_cell_length_c 14.1912
_cell_angle_alpha 90.00
_cell_angle_beta 90.00
_cell_angle_gamma 90.00
loop_
_atom_site_label
_atom_site_type_symbol
_atom_site_fract_x
_atom_site_fract_y
_atom_site_fract_z
Cs1 Cs 0.0000 0.1206 0.0000
Cs2 Cs 0.0000 0.1316 0.6166
Cu1 Cu 0.0000 0.4206 0.7061
Hg1 Hg 0.0000 0.2084 0.3247
Cl1 Cl 0.0000 0.0816 0.2949
Cl2 Cl 0.0000 0.2957 0.9499
Cl3 Cl 0.0000 0.3064 0.6778
Cl4 Cl 0.0000 0.3348 0.3112
Cl5 Cl 0.0000 0.5004 0.0955
```

=====

Record 7
First-principles (PBE) data for HgTeSN2 after structural relaxation, as listed in Alexandria via LeMat-Bulk.

Formation energy from raw total energies = 1.907 eV/atom
Energy above the lowest structure with this stoichiometry = 3.13 eV/f.u.

CIF file:
```
data_HgTeSN2
_space_group_name_H-M_alt 'P 4/m m m'
_space_group_IT_number 123
_space_group_name_Hall '-P 4 2'
_cell_length_a 4.1652
_cell_length_b 4.1652
_cell_length_c 7.0213
_cell_angle_alpha 90.00
_cell_angle_beta 90.00
_cell_angle_gamma 90.00
loop_
_atom_site_label
_atom_site_type_symbol
_atom_site_fract_x
_atom_site_fract_y
_atom_site_fract_z
Hg1 Hg 0.0000 0.0000 0.0000
Te1 Te 0.0000 0.0000 0.5000
S1 S 0.5000 0.5000 0.5000
N1 N 0.0000 0.5000 0.0000
```

=====

Record 8
First-principles (PBE) data for Mg2CuGe2Rh5 after structural relaxation, as listed in Alexandria via LeMat-Bulk.

Formation energy = -0.4044 eV/atom

CIF file:
```
data_Mg2CuGe2Rh5
_space_group_name_H-M_alt 'P 4/m b m'
_space_group_IT_number 127
_space_group_name_Hall '-P 4 2ab'
_cell_length_a 9.5766
_cell_length_b 9.5766
_cell_length_c 3.3793
_cell_angle_alpha 90.00
_cell_angle_beta 90.00
_cell_angle_gamma 90.00
loop_
_atom_site_label
_atom_site_type_symbol
_atom_site_fract_x
_atom_site_fract_y
_atom_site_fract_z
Mg1 Mg 0.1693 0.3307 0.0000
Cu1 Cu 0.0000 0.0000 0.0000
Ge1 Ge 0.1328 0.6328 0.0000
Rh1 Rh 0.0000 0.5000 0.5000
Rh2 Rh 0.0706 0.8027 0.5000
```